# ReSiPt2, relaxed, DFT PBE-GGA
data_ReSiPt2
_chemical_formula_sum 'Re1 Si1 Pt2'
_cell_length_a 2.818
_cell_length_b 4.075
_cell_length_c 5.333
_cell_angle_alpha 90.00
_cell_angle_beta 104.37
_cell_angle_gamma 90.00
_space_group_name_H-M_alt 'P 1'
_space_group_IT_number 1
loop_
_space_group_symop_operation_xyz
'x,y,z'
loop_
_atom_site_label
_atom_site_type_symbol
_atom_site_fract_x
_atom_site_fract_y
_atom_site_fract_z
Re1 Re 0.000 0.000 0.000
Si1 Si 0.000 0.000 0.500
Pt1 Pt 0.367 0.500 0.742
Pt2 Pt 0.633 0.500 0.258
# Raw formation energy, eV/f.u.: -0.4
# Magnetization, μB/atom: 0.000
# SG: P2/m, No. 10

***

# CsLaCr, relaxed, DFT PBE-GGA
data_CsLaCr
_chemical_formula_sum 'Cs2 La2 Cr2'
_cell_length_a 4.044
_cell_length_b 4.582
_cell_length_c 14.962
_cell_angle_alpha 81.32
_cell_angle_beta 89.60
_cell_angle_gamma 89.79
_space_group_name_H-M_alt 'P 1'
_space_group_IT_number 1
loop_
_space_group_symop_operation_xyz
'x,y,z'
loop_
_atom_site_label
_atom_site_type_symbol
_atom_site_fract_x
_atom_site_fract_y
_atom_site_fract_z
Cs1 Cs 0.238 0.330 0.344
Cs2 Cs 0.762 0.670 0.656
La1 La 0.276 0.051 0.897
La2 La 0.724 0.949 0.103
Cr1 Cr 0.195 0.481 0.035
Cr2 Cr 0.805 0.519 0.965
# Magnetization, μB/atom: 0.000
# SG: P-1, No. 2
# E, eV per atom: -4.647

***

# ErThCdPt, relaxed, DFT PBE-GGA
data_ErThCdPt
_chemical_formula_sum 'Er1 Th1 Cd1 Pt1'
_cell_length_a 5.178
_cell_length_b 5.178
_cell_length_c 5.178
_cell_angle_alpha 60.00
_cell_angle_beta 60.00
_cell_angle_gamma 60.00
_space_group_name_H-M_alt 'P 1'
_space_group_IT_number 1
loop_
_space_group_symop_operation_xyz
'x,y,z'
loop_
_atom_site_label
_atom_site_type_symbol
_atom_site_fract_x
_atom_site_fract_y
_atom_site_fract_z
Er1 Er 0.000 0.000 0.000
Th1 Th 0.500 0.500 0.500
Cd1 Cd 0.750 0.750 0.750
Pt1 Pt 0.250 0.250 0.250
# Magnetization, μB/atom: 0.000
# SG: F-43m, No. 216
# E, eV per atom: -5.314

***

# Zn13Cd2, relaxed, DFT PBE-GGA
data_Zn13Cd2
_chemical_formula_sum 'Zn13 Cd2'
_cell_length_a 8.623
_cell_length_b 8.623
_cell_length_c 8.623
_cell_angle_alpha 45.56
_cell_angle_beta 45.56
_cell_angle_gamma 45.56
_space_group_name_H-M_alt 'P 1'
_space_group_IT_number 1
loop_
_space_group_symop_operation_xyz
'x,y,z'
loop_
_atom_site_label
_atom_site_type_symbol
_atom_site_fract_x
_atom_site_fract_y
_atom_site_fract_z
Zn1 Zn 0.000 0.000 0.000
Zn2 Zn 0.119 0.119 0.508
Zn3 Zn 0.119 0.508 0.119
Zn4 Zn 0.248 0.248 0.625
Zn5 Zn 0.248 0.625 0.248
Zn6 Zn 0.375 0.752 0.752
Zn7 Zn 0.492 0.881 0.881
Zn8 Zn 0.508 0.119 0.119
Zn9 Zn 0.625 0.248 0.248
Zn10 Zn 0.752 0.375 0.752
Zn11 Zn 0.752 0.752 0.375
Zn12 Zn 0.881 0.492 0.881
Zn13 Zn 0.881 0.881 0.492
Cd1 Cd 0.146 0.146 0.146
Cd2 Cd 0.854 0.854 0.854
# Magnetization, μB/atom: 0.000
# SG: R-3m, No. 166
# E, eV per atom: -1.056

***

# Sc2AgHg2, relaxed, DFT PBE-GGA
data_Sc2AgHg2
_chemical_formula_sum 'Sc4 Ag2 Hg4'
_cell_length_a 7.673
_cell_length_b 7.673
_cell_length_c 3.724
_cell_angle_alpha 90.00
_cell_angle_beta 90.00
_cell_angle_gamma 90.00
_space_group_name_H-M_alt 'P 1'
_space_group_IT_number 1
loop_
_space_group_symop_operation_xyz
'x,y,z'
loop_
_atom_site_label
_atom_site_type_symbol
_atom_site_fract_x
_atom_site_fract_y
_atom_site_fract_z
Sc1 Sc 0.164 0.336 0.000
Sc2 Sc 0.336 0.836 0.000
Sc3 Sc 0.664 0.164 0.000
Sc4 Sc 0.836 0.664 0.000
Ag1 Ag 0.000 0.000 0.500
Ag2 Ag 0.500 0.500 0.500
Hg1 Hg 0.137 0.637 0.500
Hg2 Hg 0.363 0.137 0.500
Hg3 Hg 0.637 0.863 0.500
Hg4 Hg 0.863 0.363 0.500
# Magnetization, μB/atom: 0.000
# Relative energy among the computed polymorphs, kJ per mole of atoms: 0.0
# SG: P4/mbm, No. 127

***

# ErW6, relaxed, DFT PBE-GGA
data_ErW6
_chemical_formula_sum 'Er1 W6'
_cell_length_a 6.122
_cell_length_b 6.122
_cell_length_c 6.122
_cell_angle_alpha 109.47
_cell_angle_beta 109.47
_cell_angle_gamma 109.47
_space_group_name_H-M_alt 'P 1'
_space_group_IT_number 1
loop_
_space_group_symop_operation_xyz
'x,y,z'
loop_
_atom_site_label
_atom_site_type_symbol
_atom_site_fract_x
_atom_site_fract_y
_atom_site_fract_z
Er1 Er 0.000 0.000 0.000
W1 W 0.250 0.500 0.750
W2 W 0.250 0.750 0.500
W3 W 0.500 0.250 0.750
W4 W 0.500 0.750 0.250
W5 W 0.750 0.250 0.500
W6 W 0.750 0.500 0.250
# Magnetization, μB/atom: 0.000
# SG: Im-3m, No. 229
# E, eV per atom: -9.821

***

# Fe2PtCl6, relaxed, DFT PBE-GGA
data_Fe2PtCl6
_chemical_formula_sum 'Fe4 Pt2 Cl12'
_cell_length_a 9.990
_cell_length_b 9.990
_cell_length_c 7.291
_cell_angle_alpha 111.39
_cell_angle_beta 111.39
_cell_angle_gamma 115.01
_space_group_name_H-M_alt 'P 1'
_space_group_IT_number 1
loop_
_space_group_symop_operation_xyz
'x,y,z'
loop_
_atom_site_label
_atom_site_type_symbol
_atom_site_fract_x
_atom_site_fract_y
_atom_site_fract_z
Fe1 Fe 0.170 0.331 0.206
Fe2 Fe 0.331 0.170 0.706
Fe3 Fe 0.669 0.830 0.294
Fe4 Fe 0.830 0.669 0.794
Pt1 Pt 0.250 0.750 0.250
Pt2 Pt 0.750 0.250 0.750
Cl1 Cl 0.146 0.840 0.014
Cl2 Cl 0.160 0.854 0.486
Cl3 Cl 0.235 0.267 0.489
Cl4 Cl 0.267 0.235 0.989
Cl5 Cl 0.339 0.647 0.472
Cl6 Cl 0.353 0.661 0.028
Cl7 Cl 0.647 0.339 0.972
Cl8 Cl 0.661 0.353 0.528
Cl9 Cl 0.733 0.765 0.011
Cl10 Cl 0.765 0.733 0.511
Cl11 Cl 0.840 0.146 0.514
Cl12 Cl 0.854 0.160 0.986
# Raw formation energy, eV/f.u.: -4.9
# Magnetization, μB/atom: 0.889
# SG: C2/c, No. 15

***

# Ca2Pm2Dy, relaxed, DFT PBE-GGA
data_Ca2Pm2Dy
_chemical_formula_sum 'Ca2 Pm2 Dy1'
_cell_length_a 9.340
_cell_length_b 9.340
_cell_length_c 9.340
_cell_angle_alpha 151.38
_cell_angle_beta 151.38
_cell_angle_gamma 40.92
_space_group_name_H-M_alt 'P 1'
_space_group_IT_number 1
loop_
_space_group_symop_operation_xyz
'x,y,z'
loop_
_atom_site_label
_atom_site_type_symbol
_atom_site_fract_x
_atom_site_fract_y
_atom_site_fract_z
Ca1 Ca 0.250 0.750 0.500
Ca2 Ca 0.750 0.250 0.500
Pm1 Pm 0.088 0.088 0.000
Pm2 Pm 0.912 0.912 0.000
Dy1 Dy 0.500 0.500 0.000
# Magnetization, μB/atom: 0.000
# Relative energy among the computed polymorphs, kJ per mole of atoms: 36.1
# SG: I4/mmm, No. 139

***

Number 1: calculated density 16.922 Mg/m³. Number 2: calculated density 3.924 Mg/m³. Number 3: calculated density 11.955 Mg/m³. Number 4: calculated density 5.995 Mg/m³. Number 5: calculated density 9.074 Mg/m³. Number 6: calculated density 11.944 Mg/m³. Number 7: calculated density 3.564 Mg/m³. Number 8: calculated density 4.740 Mg/m³.